A relaxed PuTlMoF6 crystal, computed with GGA+U.

Values from the calculation:
Uncorrected energy ... -0.2372 hartree per atom
Density of states at the Fermi level ... 19.4 states/eV per cell
Space-group type ... No. 163

Lattice parameters (Å, degrees): 6.298 6.298 11.174 90.00 90.00 120.00
Fractional positions:
Pu 0.333 0.667 0.250
Pu 0.667 0.333 0.750
Tl 0.000 0.000 0.000
Tl 0.000 0.000 0.500
Mo 0.333 0.667 0.750
Mo 0.667 0.333 0.250
F 0.036 0.393 0.650
F 0.036 0.643 0.850
F 0.357 0.393 0.850
F 0.357 0.964 0.650
F 0.393 0.036 0.150
F 0.393 0.357 0.350
F 0.607 0.643 0.650
F 0.607 0.964 0.850
F 0.643 0.036 0.350
F 0.643 0.607 0.150
F 0.964 0.357 0.150
F 0.964 0.607 0.350